(1)
This record from the Alexandria database describes Pr2Er3Cd2 after structural relaxation. The functional is GGA-PBE.

Lattice parameters (Å, degrees): 3.581 32.989 3.535 90.00 90.00 90.00
Space group Cmmm (No. 65)
Unique sites:
Pr  0.000  0.202  0.000 [4 per cell]
Er  0.000  0.073  0.000 [4 per cell]
Er  0.000  0.500  0.500 [2 per cell]
Cd  0.000  0.366  0.500 [4 per cell]

Computed properties:
The value obtained for the density of states at the Fermi level is 15.46 states/eV per cell. Its formation energy is -11 kJ/mol of atoms. For the total magnetization, the calculation gives 0.0 μB/f.u. The crystal system is orthorhombic.

(2)
This record from the Alexandria database describes LiNbCd2B after structural relaxation. The functional is GGA-PBE.

Lattice parameters (Å, degrees): 4.481 4.481 4.250 90.00 90.00 90.00
Space group P4/mmm (No. 123)
Unique sites:
Li  0.000  0.000  0.000 [1 per cell]
Nb  0.500  0.500  0.000 [1 per cell]
Cd  0.000  0.500  0.500 [2 per cell]
B  0.000  0.000  0.500 [1 per cell]

Computed properties:
The value obtained for the density of states at the Fermi level is 2.30 states/eV per cell. Its formation energy is 80 kJ/mol of atoms. For the total magnetization, the calculation gives 1.0 μB/f.u. The crystal system is tetragonal.

(3)
This record from the Alexandria database describes La2HoPu after structural relaxation. The functional is GGA-PBE.

Lattice parameters (Å, degrees): 3.6136 3.6136 34.8585 90.00 90.00 120.00
Space group R-3m (No. 166, hexagonal axes)
Unique sites:
La  0.0000  0.0000  0.2481 [6 per cell]
Ho  0.0000  0.0000  0.0000 [3 per cell]
Pu  0.0000  0.0000  0.5000 [3 per cell]

Computed properties:
The value obtained for the density of states at the Fermi level is 32.37 states/eV per cell. Its formation energy is 11 kJ/mol of atoms. For the total magnetization, the calculation gives 6.1 μB/f.u. The crystal system is trigonal.

(4)
This record from the Alexandria database describes Tb5SmHo2Sc after structural relaxation. The functional is GGA-PBE.

Lattice parameters (Å, degrees): 5.560 19.790 10.388 90.00 90.00 90.00
Space group Cmc2_1 (No. 36)
Unique sites:
Tb  0.000  0.018  0.000 [4 per cell]
Tb  0.000  0.123  0.280 [4 per cell]
Tb  0.000  0.201  0.966 [4 per cell]
Tb  0.000  0.223  0.581 [4 per cell]
Tb  0.000  0.482  0.278 [4 per cell]
Sm  0.000  0.089  0.715 [4 per cell]
Ho  0.000  0.386  0.996 [4 per cell]
Ho  0.000  0.388  0.573 [4 per cell]
Sc  0.000  0.304  0.275 [4 per cell]

Computed properties:
The value obtained for the density of states at the Fermi level is 58.41 states/eV per cell. Its formation energy is 16 kJ/mol of atoms. For the total magnetization, the calculation gives 0.0 μB/f.u. The crystal system is orthorhombic.

(5)
This record from the Alexandria database describes SrZrW2 after structural relaxation. The functional is GGA-PBE.

Lattice parameters (Å, degrees): 3.059 4.242 7.530 90.00 97.05 90.00
Space group Pm (No. 6)
Unique sites:
Sr  0.000  0.000  0.000 [1 per cell]
Zr  0.300  0.500  0.634 [1 per cell]
W  0.483  0.500  0.297 [1 per cell]
W  0.838  0.000  0.437 [1 per cell]

Computed properties:
The value obtained for the density of states at the Fermi level is 4.96 states/eV per cell. Its formation energy is 64 kJ/mol of atoms. For the total magnetization, the calculation gives 0.0 μB/f.u. The crystal system is monoclinic.

(6)
This record from the Alexandria database describes BaNi2Mo after structural relaxation. The functional is GGA-PBE.

Lattice parameters (Å, degrees): 3.165 3.240 7.428 90.00 90.00 90.00
Space group Pmmm (No. 47)
Unique sites:
Ba  0.000  0.000  0.000 [1 per cell]
Ni  0.500  0.500  0.335 [2 per cell]
Mo  0.000  0.000  0.500 [1 per cell]

Computed properties:
The value obtained for the density of states at the Fermi level is 4.86 states/eV per cell. Its formation energy is 36 kJ/mol of atoms. For the total magnetization, the calculation gives 0.8 μB/f.u. The crystal system is orthorhombic.

(7)
This record from the Alexandria database describes CeMgSi4 after structural relaxation. The functional is GGA-PBE.

Lattice parameters (Å, degrees): 7.468 7.468 7.468 90.00 90.00 90.00
Space group F-43m (No. 216)
Unique sites:
Ce  0.000  0.000  0.000 [4 per cell]
Mg  0.250  0.250  0.250 [4 per cell]
Si  0.123  0.123  0.623 [16 per cell]

Computed properties:
The value obtained for the density of states at the Fermi level is 23.01 states/eV per cell. Its uncorrected formation energy is -19.3 kJ per mole of atoms. For the total magnetization, the calculation gives 0.0 μB/f.u. The crystal system is cubic.

(8)
This record from the Alexandria database describes Dy2UF11 after structural relaxation. The functional is GGA-PBE.

Lattice parameters (Å, degrees): 8.080 10.320 11.104 90.00 90.00 90.00
Space group Ibam (No. 72)
Unique sites:
Dy  0.134  0.182  0.000 [8 per cell]
U  0.000  0.500  0.250 [4 per cell]
F  0.000  0.000  0.000 [4 per cell]
F  0.098  0.324  0.153 [16 per cell]
F  0.128  0.226  0.500 [8 per cell]
F  0.203  0.439  0.365 [16 per cell]

Computed properties:
The value obtained for the density of states at the Fermi level is 8.53 states/eV per cell. Its uncorrected formation energy is -369.5 kJ per mole of atoms. For the total magnetization, the calculation gives 1.0 μB/f.u. The crystal system is orthorhombic.

total magnetization of number 2 (LiNbCd2B)?
1.0 μB/f.u.

Which value of total magnetization does entry 8 give?
1.0 μB/f.u.

What is the total magnetization in the fourth record?
0.0 μB/f.u.